GGA-PBE NdDy2Th3, optimized geometry; size of the total moment = 0.00 μB per formula unit; calculated volume = 195.2 Å³/f.u.; SG = C2/m (12); crystal system = monoclinic; energy of formation = 0.03 eV/atom; energy = -6.009 eV/atom
1.0
4.910 0.000 1.211
2.010 7.376 2.411
-0.050 -0.021 10.763
Th Dy Nd
6 4 2
Cartesian
6.103 5.204 6.932 Th
1.488 0.293 4.527 Th
5.381 7.063 9.859 Th
3.075 4.599 8.651 Th
3.794 2.757 5.735 Th
0.766 2.151 7.454 Th
1.922 3.376 2.767 Dy
4.229 5.801 3.972 Dy
2.640 1.554 10.414 Dy
4.947 3.980 11.619 Dy
2.342 6.440 11.624 Nd
4.527 0.915 2.762 Nd

GGA-PBE PmGdSnHg, optimized geometry; size of the total moment = 7.46 μB per formula unit; calculated volume = 110.1 Å³/f.u.; SG = F-43m (216); crystal system = cubic; energy of formation = -0.60 eV/atom; energy = -6.381 eV/atom
1.0
5.379 0.000 0.000
2.690 4.658 0.000
2.690 1.553 4.392
Pm Sn Gd Hg
1 1 1 1
Cartesian
5.379 3.106 2.196 Pm
2.690 1.553 1.098 Sn
0.000 0.000 0.000 Gd
8.069 4.658 3.294 Hg

GGA-PBE Zr3Ir2Ru, optimized geometry; size of the total moment = 0.00 μB per formula unit; calculated volume = 107.7 Å³/f.u.; SG = Cmmm (65); crystal system = orthorhombic; energy of formation = -0.73 eV/atom; energy = -9.499 eV/atom
1.0
-0.505 1.071 3.078
-4.569 0.307 -0.857
1.435 -6.767 2.590
Ir Zr Ru
2 3 1
Cartesian
-3.068 -0.936 3.355 Ir
-0.572 -4.454 1.456 Ir
-2.537 0.689 1.110 Zr
-3.104 -3.719 2.551 Zr
-0.536 -1.671 2.260 Zr
0.000 0.000 0.000 Ru

GGA-PBE YBiO2, optimized geometry; size of the total moment = 0.00 μB per formula unit; energy relative to the elements, uncorrected = -1889 meV/atom; calculated volume = 83.2 Å³/f.u.; SG = I-42d (122); crystal system = tetragonal; energy = -6.955 eV/atom
1.0
5.696 0.000 0.000
0.000 5.696 0.000
2.848 2.848 5.128
Y O Bi
2 4 2
Cartesian
2.848 2.848 0.000 Y
2.848 5.696 2.564 Y
4.272 4.700 3.846 O
1.852 4.272 1.282 O
7.121 6.693 3.846 O
3.845 1.424 1.282 O
5.696 2.848 2.564 Bi
0.000 0.000 0.000 Bi

Question: Look up the energy of the second one.
Answer: -6.381 eV/atom